Record 1
This record from the Alexandria database describes a geometry-optimized ScTlPbBr6 structure. The functional is PBE-GGA.

It has space group P-31c (No. 163), with a = 7.5019 Å, b = 7.5019 Å, c = 14.0425 Å, α = 90.00°, β = 90.00° and γ = 120.00°. The asymmetric unit holds Sc at (0.3333, 0.6667, 0.2500), Tl at (0.0000, 0.0000, 0.0000), Pb at (0.3333, 0.6667, 0.7500) and Br at (0.0372, 0.3852, 0.1378).

Its density of states at the Fermi level is 0.00 states/eV per atom. The calculation puts the formation energy (no corrections) at -1.2666 eV per atom.

Record 2
This record from the Alexandria database describes a geometry-optimized ScZnPb2Br structure. The functional is PBE-GGA.

It has space group P4/mmm (No. 123), with a = 5.7896 Å, b = 5.7896 Å, c = 5.3220 Å, α = 90.00°, β = 90.00° and γ = 90.00°. The asymmetric unit holds Sc at (0.0000, 0.0000, 0.0000), Zn at (0.0000, 0.0000, 0.5000), Pb at (0.0000, 0.5000, 0.0000) and Br at (0.5000, 0.5000, 0.5000).

Its density of states at the Fermi level is 1.45 states/eV per atom. The calculation puts the formation energy (no corrections) at 0.3203 eV per atom.

Record 3
This record from the Alexandria database describes a geometry-optimized PbSeBr structure. The functional is PBE-GGA.

It has space group I4mm (No. 107), with a = 4.2358 Å, b = 4.2358 Å, c = 10.5955 Å, α = 90.00°, β = 90.00° and γ = 90.00°. The asymmetric unit holds Pb at (0.0000, 0.0000, 0.0000), Se at (0.0000, 0.0000, 0.4373) and Br at (0.0000, 0.0000, 0.7212).

Its density of states at the Fermi level is 0.36 states/eV per atom. The calculation puts the formation energy (no corrections) at -0.2766 eV per atom. The energy above the most stable polymorph in this dataset comes out at 272 meV/atom.

Record 4
This record from the Alexandria database describes a geometry-optimized Pb2SeBr structure. The functional is PBE-GGA.

It has space group Fm-3m (No. 225), with a = 7.6281 Å, b = 7.6281 Å, c = 7.6281 Å, α = 90.00°, β = 90.00° and γ = 90.00°. The asymmetric unit holds Pb at (0.2500, 0.2500, 0.2500), Se at (0.0000, 0.0000, 0.0000) and Br at (0.0000, 0.0000, 0.5000).

Its density of states at the Fermi level is 0.40 states/eV per atom. The calculation puts the formation energy (no corrections) at -0.3903 eV per atom. The energy above the most stable polymorph in this dataset comes out at 113 meV/atom.